A relaxed K2LiHg crystal, computed with PBE.

## Properties
**M_tot**: 0.00 μB/f.u.
**Total energy**: -1.058 eV/atom

abc: 7.2273 4.1948 11.6143
angles: 90.00 101.84 90.00
Closest atoms and distances in Å follow each position.
Space group Cm (No. 8)
Asymmetric unit:
K 0.0000 0.0000 0.0000  3 Hg 3.57, 3 Li 3.88-3.89
K 0.1787 0.0000 0.5362  3 Hg 3.58, 3 Li 3.89
Li 0.2558 0.5000 0.2679  6 K 3.88-3.89, 6 Li 4.18-4.19
Hg 0.0893 0.5000 0.7684  6 K 3.57-3.58